1.
# GGA-PBE Al6HgPd12, relaxed
# Crystal system: trigonal
# E_tot, eV per atom: -4.9540
data_Al6HgPd12
_chemical_formula_sum 'Al18 Hg3 Pd36'
_space_group_name_H-M_alt 'R -3'
_space_group_IT_number 148
_space_group_name_Hall '-R 3'
_cell_length_a 11.0117
_cell_length_b 11.0117
_cell_length_c 9.7452
_cell_angle_alpha 90.00
_cell_angle_beta 90.00
_cell_angle_gamma 120.00
loop_
_atom_site_label
_atom_site_type_symbol
_atom_site_fract_x
_atom_site_fract_y
_atom_site_fract_z
_atom_site_occupancy
Al1 Al 0.0463 0.2137 0.1803 1
Hg1 Hg 0.0000 0.0000 0.5000 1
Pd1 Pd 0.0475 0.2578 0.4289 1
Pd2 Pd 0.0587 0.2427 0.9221 1

***

2.
# GGA-PBE BiAsSe2N, relaxed
# Crystal system: tetragonal
# E_tot, eV per atom: -4.1955
# Formation energy from raw total energies, eV/f.u.: 2.85
# Distance to the lowest polymorph of the same formula, meV per atom: 0
data_BiAsSe2N
_chemical_formula_sum 'Bi1 As1 Se2 N1'
_space_group_name_H-M_alt 'P 4/m m m'
_space_group_IT_number 123
_space_group_name_Hall '-P 4 2'
_cell_length_a 5.277
_cell_length_b 5.277
_cell_length_c 3.740
_cell_angle_alpha 90.00
_cell_angle_beta 90.00
_cell_angle_gamma 90.00
loop_
_atom_site_label
_atom_site_type_symbol
_atom_site_fract_x
_atom_site_fract_y
_atom_site_fract_z
_atom_site_occupancy
Bi1 Bi 0.000 0.000 0.000 1
As1 As 0.500 0.500 0.500 1
Se1 Se 0.000 0.500 0.500 1
N1 N 0.500 0.500 0.000 1

***

3.
# GGA-PBE Ac2Ag2Pd5Pt, relaxed
# Crystal system: tetragonal
# E_tot, eV per atom: -5.0351
data_Ac2Ag2Pd5Pt
_chemical_formula_sum 'Ac4 Ag4 Pd10 Pt2'
_space_group_name_H-M_alt 'P 4/m b m'
_space_group_IT_number 127
_space_group_name_Hall '-P 4 2ab'
_cell_length_a 9.985
_cell_length_b 9.985
_cell_length_c 4.105
_cell_angle_alpha 90.00
_cell_angle_beta 90.00
_cell_angle_gamma 90.00
loop_
_atom_site_label
_atom_site_type_symbol
_atom_site_fract_x
_atom_site_fract_y
_atom_site_fract_z
_atom_site_occupancy
Ac1 Ac 0.181 0.319 0.000 1
Ag1 Ag 0.120 0.620 0.000 1
Pd1 Pd 0.000 0.500 0.500 1
Pd2 Pd 0.051 0.802 0.500 1
Pt1 Pt 0.000 0.000 0.000 1

***

4.
# GGA-PBE NaZnI3, relaxed
# Crystal system: cubic
# E_tot, eV per atom: -1.4260
# Formation energy from raw total energies, eV/f.u.: 0.11
# Distance to the lowest polymorph of the same formula, meV per atom: 668
data_NaZnI3
_chemical_formula_sum 'Na1 Zn1 I3'
_space_group_name_H-M_alt 'P m -3 m'
_space_group_IT_number 221
_space_group_name_Hall '-P 4 2 3'
_cell_length_a 5.990
_cell_length_b 5.990
_cell_length_c 5.990
_cell_angle_alpha 90.00
_cell_angle_beta 90.00
_cell_angle_gamma 90.00
loop_
_atom_site_label
_atom_site_type_symbol
_atom_site_fract_x
_atom_site_fract_y
_atom_site_fract_z
_atom_site_occupancy
Na1 Na 0.000 0.000 0.000 1
Zn1 Zn 0.500 0.500 0.500 1
I1 I 0.000 0.000 0.500 1

***

Q: Which of these has the lowest E_tot?
A: Ac2Ag2Pd5Pt